# TaB2Mo, relaxed, DFT GGA-PBE
data_TaB2Mo
_chemical_formula_sum 'Ta4 B8 Mo4'
_cell_length_a 5.8116
_cell_length_b 5.8116
_cell_length_c 5.8116
_cell_angle_alpha 90.00
_cell_angle_beta 90.00
_cell_angle_gamma 90.00
_symmetry_space_group_name_H-M 'F -4 3 m'
_symmetry_Int_Tables_number 216
_symmetry_space_group_name_Hall 'F -4 2 3'
loop_
_atom_site_label
_atom_site_fract_x
_atom_site_fract_y
_atom_site_fract_z
Ta1 0.0000 0.0000 0.0000
B1 0.0000 0.0000 0.5000
B2 0.2500 0.2500 0.7500
Mo1 0.2500 0.2500 0.2500
# Theoretical density = 10.1 Mg/m³
# Electronic total energy = -7.880 eV/atom

=====

# BeGa2Tc, relaxed, DFT GGA-PBE
data_BeGa2Tc
_chemical_formula_sum 'Be4 Ga8 Tc4'
_cell_length_a 5.9917
_cell_length_b 5.9917
_cell_length_c 5.9917
_cell_angle_alpha 90.00
_cell_angle_beta 90.00
_cell_angle_gamma 90.00
_symmetry_space_group_name_H-M 'F -4 3 m'
_symmetry_Int_Tables_number 216
_symmetry_space_group_name_Hall 'F -4 2 3'
loop_
_atom_site_label
_atom_site_fract_x
_atom_site_fract_y
_atom_site_fract_z
Be1 0.0000 0.0000 0.0000
Ga1 0.0000 0.0000 0.5000
Ga2 0.2500 0.2500 0.7500
Tc1 0.2500 0.2500 0.2500
# Theoretical density = 7.6 Mg/m³
# Electronic total energy = -4.758 eV/atom

=====

# K2CuHgF6, relaxed, DFT GGA-PBE
data_K2CuHgF6
_chemical_formula_sum 'K6 Cu3 Hg3 F18'
_cell_length_a 5.8792
_cell_length_b 5.8792
_cell_length_c 14.3196
_cell_angle_alpha 90.00
_cell_angle_beta 90.00
_cell_angle_gamma 120.00
_symmetry_space_group_name_H-M 'R 3'
_symmetry_Int_Tables_number 146
_symmetry_space_group_name_Hall 'R 3'
loop_
_atom_site_label
_atom_site_fract_x
_atom_site_fract_y
_atom_site_fract_z
K1 0.0000 0.0000 0.0000
K2 0.0000 0.0000 0.4988
Cu1 0.0000 0.0000 0.2486
Hg1 0.0000 0.0000 0.7487
F1 0.0220 0.4497 0.9934
F2 0.1167 0.7605 0.8365
# Theoretical density = 5.3 Mg/m³
# Electronic total energy = -3.712 eV/atom

=====

# NaScZnS3, relaxed, DFT GGA-PBE
data_NaScZnS3
_chemical_formula_sum 'Na4 Sc4 Zn4 S12'
_cell_length_a 13.1137
_cell_length_b 3.7686
_cell_length_c 10.2343
_cell_angle_alpha 90.00
_cell_angle_beta 90.00
_cell_angle_gamma 90.00
_symmetry_space_group_name_H-M 'P n m a'
_symmetry_Int_Tables_number 62
_symmetry_space_group_name_Hall '-P 2ac 2n'
loop_
_atom_site_label
_atom_site_fract_x
_atom_site_fract_y
_atom_site_fract_z
Na1 0.2391 0.2500 0.0584
Sc1 0.0216 0.2500 0.3497
Zn1 0.0127 0.7500 0.1004
S1 0.0949 0.7500 0.8849
S2 0.1001 0.2500 0.5736
S3 0.1380 0.7500 0.2561
# Theoretical density = 3.0 Mg/m³
# Electronic total energy = -4.890 eV/atom

=====

# TmTlGaSe3, relaxed, DFT GGA-PBE
data_TmTlGaSe3
_chemical_formula_sum 'Tm4 Tl4 Ga4 Se12'
_cell_length_a 14.4654
_cell_length_b 4.3309
_cell_length_c 11.3329
_cell_angle_alpha 90.00
_cell_angle_beta 90.00
_cell_angle_gamma 90.00
_symmetry_space_group_name_H-M 'P n m a'
_symmetry_Int_Tables_number 62
_symmetry_space_group_name_Hall '-P 2ac 2n'
loop_
_atom_site_label
_atom_site_fract_x
_atom_site_fract_y
_atom_site_fract_z
Tm1 0.0219 0.2500 0.1460
Tl1 0.2398 0.2500 0.4580
Ga1 0.0156 0.7500 0.3960
Se1 0.0787 0.7500 0.6256
Se2 0.0993 0.2500 0.9227
Se3 0.1349 0.7500 0.2334
# Theoretical density = 6.4 Mg/m³
# Electronic total energy = -4.333 eV/atom

=====

# PrScPO, relaxed, DFT GGA-PBE
data_PrScPO
_chemical_formula_sum 'Pr2 Sc2 P2 O2'
_cell_length_a 4.2314
_cell_length_b 4.9267
_cell_length_c 7.1153
_cell_angle_alpha 90.00
_cell_angle_beta 90.00
_cell_angle_gamma 90.00
_symmetry_space_group_name_H-M 'P m c 21'
_symmetry_Int_Tables_number 26
_symmetry_space_group_name_Hall 'P 2c -2'
loop_
_atom_site_label
_atom_site_fract_x
_atom_site_fract_y
_atom_site_fract_z
Pr1 0.0000 0.1535 0.0000
Sc1 0.5000 0.3467 0.3572
P1 0.5000 0.1493 0.7060
O1 0.0000 0.3410 0.3477
# Theoretical density = 5.2 Mg/m³
# Electronic total energy = -7.454 eV/atom

=====

# LaAgOs, relaxed, DFT GGA-PBE
data_LaAgOs
_chemical_formula_sum 'La4 Ag4 Os4'
_cell_length_a 6.7080
_cell_length_b 6.7080
_cell_length_c 6.7080
_cell_angle_alpha 90.00
_cell_angle_beta 90.00
_cell_angle_gamma 90.00
_symmetry_space_group_name_H-M 'F -4 3 m'
_symmetry_Int_Tables_number 216
_symmetry_space_group_name_Hall 'F -4 2 3'
loop_
_atom_site_label
_atom_site_fract_x
_atom_site_fract_y
_atom_site_fract_z
La1 0.0000 0.0000 0.0000
Ag1 0.2500 0.2500 0.7500
Os1 0.2500 0.2500 0.2500
# Formation energy = 1.02 eV/atom
# Theoretical density = 9.6 Mg/m³
# Electronic total energy = -5.300 eV/atom

=====

# TbBiAsO, relaxed, DFT GGA-PBE
data_TbBiAsO
_chemical_formula_sum 'Tb2 Bi2 As2 O2'
_cell_length_a 4.9112
_cell_length_b 6.4593
_cell_length_c 6.4775
_cell_angle_alpha 90.00
_cell_angle_beta 90.00
_cell_angle_gamma 90.00
_symmetry_space_group_name_H-M 'P m c 21'
_symmetry_Int_Tables_number 26
_symmetry_space_group_name_Hall 'P 2c -2'
loop_
_atom_site_label
_atom_site_fract_x
_atom_site_fract_y
_atom_site_fract_z
Tb1 0.0000 0.1559 0.0000
Bi1 0.5000 0.2476 0.3755
As1 0.5000 0.3100 0.8308
O1 0.0000 0.1348 0.3354
# Theoretical density = 7.4 Mg/m³
# Electronic total energy = -5.775 eV/atom

=====

# YAlTcNi, relaxed, DFT GGA-PBE
data_YAlTcNi
_chemical_formula_sum 'Y4 Al4 Tc4 Ni4'
_cell_length_a 6.3879
_cell_length_b 6.3879
_cell_length_c 6.3879
_cell_angle_alpha 90.00
_cell_angle_beta 90.00
_cell_angle_gamma 90.00
_symmetry_space_group_name_H-M 'F -4 3 m'
_symmetry_Int_Tables_number 216
_symmetry_space_group_name_Hall 'F -4 2 3'
loop_
_atom_site_label
_atom_site_fract_x
_atom_site_fract_y
_atom_site_fract_z
Y1 0.0000 0.0000 0.0000
Al1 0.0000 0.0000 0.5000
Tc1 0.2500 0.2500 0.2500
Ni1 0.2500 0.2500 0.7500
# Theoretical density = 6.9 Mg/m³
# Electronic total energy = -6.693 eV/atom

=====

# TlAgTe2, relaxed, DFT GGA-PBE
data_TlAgTe2
_chemical_formula_sum 'Tl4 Ag4 Te8'
_cell_length_a 7.5988
_cell_length_b 7.5988
_cell_length_c 7.5988
_cell_angle_alpha 90.00
_cell_angle_beta 90.00
_cell_angle_gamma 90.00
_symmetry_space_group_name_H-M 'F -4 3 m'
_symmetry_Int_Tables_number 216
_symmetry_space_group_name_Hall 'F -4 2 3'
loop_
_atom_site_label
_atom_site_fract_x
_atom_site_fract_y
_atom_site_fract_z
Tl1 0.0000 0.0000 0.0000
Ag1 0.2500 0.2500 0.7500
Te1 0.0000 0.0000 0.5000
Te2 0.2500 0.2500 0.2500
# Theoretical density = 8.6 Mg/m³
# Electronic total energy = -2.671 eV/atom

=====

# Na2WSe3, relaxed, DFT GGA-PBE
data_Na2WSe3
_chemical_formula_sum 'Na8 W4 Se12'
_cell_length_a 6.8279
_cell_length_b 11.8454
_cell_length_c 7.2197
_cell_angle_alpha 90.00
_cell_angle_beta 108.76
_cell_angle_gamma 90.00
_symmetry_space_group_name_H-M 'C 1 2/m 1'
_symmetry_Int_Tables_number 12
_symmetry_space_group_name_Hall '-C 2y'
loop_
_atom_site_label
_atom_site_fract_x
_atom_site_fract_y
_atom_site_fract_z
Na1 0.0000 0.0000 0.0000
Na2 0.0000 0.1537 0.5000
Na3 0.0000 0.5000 0.5000
W1 0.0000 0.3313 0.0000
Se1 0.1991 0.5000 0.2120
Se2 0.2400 0.3126 0.7854
# Theoretical density = 5.6 Mg/m³
# Electronic total energy = -4.934 eV/atom

=====

# RbHfTe3Au, relaxed, DFT GGA-PBE
data_RbHfTe3Au
_chemical_formula_sum 'Rb4 Hf4 Te12 Au4'
_cell_length_a 16.1706
_cell_length_b 4.2163
_cell_length_c 11.2184
_cell_angle_alpha 90.00
_cell_angle_beta 90.00
_cell_angle_gamma 90.00
_symmetry_space_group_name_H-M 'P n m a'
_symmetry_Int_Tables_number 62
_symmetry_space_group_name_Hall '-P 2ac 2n'
loop_
_atom_site_label
_atom_site_fract_x
_atom_site_fract_y
_atom_site_fract_z
Rb1 0.2346 0.2500 0.0516
Hf1 0.0140 0.2500 0.3183
Te1 0.0848 0.2500 0.5655
Te2 0.1024 0.7500 0.8673
Te3 0.1350 0.7500 0.2700
Au1 0.0125 0.7500 0.1001
# Theoretical density = 7.3 Mg/m³
# Electronic total energy = -4.686 eV/atom

=====

# NaNbFe, relaxed, DFT GGA-PBE
data_NaNbFe
_chemical_formula_sum 'Na4 Nb4 Fe4'
_cell_length_a 6.0544
_cell_length_b 6.0544
_cell_length_c 6.0544
_cell_angle_alpha 90.00
_cell_angle_beta 90.00
_cell_angle_gamma 90.00
_symmetry_space_group_name_H-M 'F -4 3 m'
_symmetry_Int_Tables_number 216
_symmetry_space_group_name_Hall 'F -4 2 3'
loop_
_atom_site_label
_atom_site_fract_x
_atom_site_fract_y
_atom_site_fract_z
Na1 0.0000 0.0000 0.0000
Nb1 0.0000 0.0000 0.5000
Fe1 0.2500 0.2500 0.2500
# Theoretical density = 5.1 Mg/m³
# Electronic total energy = -5.421 eV/atom

=====

# Gd2YEr, relaxed, DFT GGA-PBE
data_Gd2YEr
_chemical_formula_sum 'Gd8 Y4 Er4'
_cell_length_a 7.2588
_cell_length_b 12.5633
_cell_length_c 5.6607
_cell_angle_alpha 90.00
_cell_angle_beta 90.00
_cell_angle_gamma 90.00
_symmetry_space_group_name_H-M 'C m c m'
_symmetry_Int_Tables_number 63
_symmetry_space_group_name_Hall '-C 2c 2'
loop_
_atom_site_label
_atom_site_fract_x
_atom_site_fract_y
_atom_site_fract_z
Gd1 0.2494 0.0832 0.2500
Y1 0.0000 0.3331 0.2500
Er1 0.0000 0.1664 0.7500
# Formation energy = 0.01 eV/atom
# Theoretical density = 7.3 Mg/m³
# Electronic total energy = -5.075 eV/atom

=====

# ZrH, relaxed, DFT GGA-PBE
data_ZrH
_chemical_formula_sum 'Zr8 H8'
_cell_length_a 4.6150
_cell_length_b 4.6172
_cell_length_c 9.7879
_cell_angle_alpha 90.00
_cell_angle_beta 90.00
_cell_angle_gamma 90.00
_symmetry_space_group_name_H-M 'P 2 2 2'
_symmetry_Int_Tables_number 16
_symmetry_space_group_name_Hall 'P 2 2'
loop_
_atom_site_label
_atom_site_fract_x
_atom_site_fract_y
_atom_site_fract_z
Zr1 0.2454 0.2473 0.1288
Zr2 0.2526 0.2419 0.6178
H1 0.0000 0.5000 0.0000
H2 0.0000 0.5000 0.2522
H3 0.0000 0.5000 0.5000
H4 0.5000 0.0000 0.0000
H5 0.5000 0.0000 0.2524
H6 0.5000 0.5000 0.0000
# Theoretical density = 5.9 Mg/m³
# Electronic total energy = -6.357 eV/atom

=====

# NaDyIn, relaxed, DFT GGA-PBE
data_NaDyIn
_chemical_formula_sum 'Na4 Dy4 In4'
_cell_length_a 7.0074
_cell_length_b 7.0074
_cell_length_c 7.0074
_cell_angle_alpha 90.00
_cell_angle_beta 90.00
_cell_angle_gamma 90.00
_symmetry_space_group_name_H-M 'F -4 3 m'
_symmetry_Int_Tables_number 216
_symmetry_space_group_name_Hall 'F -4 2 3'
loop_
_atom_site_label
_atom_site_fract_x
_atom_site_fract_y
_atom_site_fract_z
Na1 0.0000 0.0000 0.0000
Dy1 0.2500 0.2500 0.7500
In1 0.2500 0.2500 0.2500
# Theoretical density = 5.8 Mg/m³
# Electronic total energy = -2.584 eV/atom

=====

# SrEr2S4, relaxed, DFT GGA-PBE
data_SrEr2S4
_chemical_formula_sum 'Sr4 Er8 S16'
_cell_length_a 11.9492
_cell_length_b 3.9624
_cell_length_c 14.2532
_cell_angle_alpha 90.00
_cell_angle_beta 90.00
_cell_angle_gamma 90.00
_symmetry_space_group_name_H-M 'P n m a'
_symmetry_Int_Tables_number 62
_symmetry_space_group_name_Hall '-P 2ac 2n'
loop_
_atom_site_label
_atom_site_fract_x
_atom_site_fract_y
_atom_site_fract_z
Sr1 0.2429 0.2500 0.1621
Er1 0.0685 0.2500 0.3901
Er2 0.0794 0.2500 0.8990
S1 0.0216 0.7500 0.7839
S2 0.0844 0.2500 0.5789
S3 0.1301 0.7500 0.0261
S4 0.2082 0.7500 0.3271
# Theoretical density = 5.4 Mg/m³
# Electronic total energy = -6.039 eV/atom

=====

# BaLaCuTe2Se, relaxed, DFT GGA-PBE
data_BaLaCuTe2Se
_chemical_formula_sum 'Ba4 La4 Cu4 Te8 Se4'
_cell_length_a 12.3009
_cell_length_b 4.5882
_cell_length_c 12.9654
_cell_angle_alpha 90.00
_cell_angle_beta 90.00
_cell_angle_gamma 90.00
_symmetry_space_group_name_H-M 'P n m a'
_symmetry_Int_Tables_number 62
_symmetry_space_group_name_Hall '-P 2ac 2n'
loop_
_atom_site_label
_atom_site_fract_x
_atom_site_fract_y
_atom_site_fract_z
Ba1 0.1987 0.2500 0.0111
La1 0.0224 0.2500 0.6926
Cu1 0.2454 0.7500 0.7879
Te1 0.0488 0.7500 0.8637
Te2 0.1036 0.2500 0.4352
Se1 0.2272 0.7500 0.2013
# Theoretical density = 6.1 Mg/m³
# Electronic total energy = -4.755 eV/atom

=====

# K2FeSnBr6, relaxed, DFT GGA-PBE
data_K2FeSnBr6
_chemical_formula_sum 'K8 Fe4 Sn4 Br24'
_cell_length_a 11.0531
_cell_length_b 11.0531
_cell_length_c 11.0531
_cell_angle_alpha 90.00
_cell_angle_beta 90.00
_cell_angle_gamma 90.00
_symmetry_space_group_name_H-M 'F m -3 m'
_symmetry_Int_Tables_number 225
_symmetry_space_group_name_Hall '-F 4 2 3'
loop_
_atom_site_label
_atom_site_fract_x
_atom_site_fract_y
_atom_site_fract_z
K1 0.2500 0.2500 0.2500
Fe1 0.0000 0.0000 0.0000
Sn1 0.0000 0.0000 0.5000
Br1 0.0000 0.0000 0.2362
# Theoretical density = 3.6 Mg/m³
# Electronic total energy = -3.444 eV/atom

=====

# Y2TmCo2C2N3, relaxed, DFT GGA-PBE
data_Y2TmCo2C2N3
_chemical_formula_sum 'Y4 Tm2 Co4 C4 N6'
_cell_length_a 3.4350
_cell_length_b 3.4350
_cell_length_c 19.2999
_cell_angle_alpha 90.00
_cell_angle_beta 90.00
_cell_angle_gamma 90.00
_symmetry_space_group_name_H-M 'I 4/m m m'
_symmetry_Int_Tables_number 139
_symmetry_space_group_name_Hall '-I 4 2'
loop_
_atom_site_label
_atom_site_fract_x
_atom_site_fract_y
_atom_site_fract_z
Y1 0.0000 0.0000 0.1265
Tm1 0.0000 0.0000 0.5000
Co1 0.0000 0.5000 0.2500
C1 0.0000 0.0000 0.3069
N1 0.0000 0.0000 0.0000
N2 0.0000 0.0000 0.3810
# Theoretical density = 7.7 Mg/m³
# Electronic total energy = -8.442 eV/atom